Entry 1:
An optimized crystal structure of Ba2LiGaAg6, computed with PBE.

```
Ba2LiGaAg6
1.0
7.2009 0.0109 -0.1636
-0.0162 7.0986 0.0185
3.4886 3.5709 4.9883
Ag Ga Ba Li
6 1 2 1
Cartesian
5.6547 4.9995 4.4448
5.0344 1.4425 0.3824
5.6389 9.2380 4.4609
4.2396 3.5671 2.4361
6.4337 7.1134 2.4071
5.0186 5.6809 0.3984
3.5924 3.5548 -0.0725
3.0058 7.1182 2.8451
7.6675 3.5622 1.9982
0.0000 0.0000 0.0000
```

DOS(E_F) ... 4.8 states/eV/cell
Formation energy ... -17.1 kJ per mole of atoms

***

Entry 2:
An optimized crystal structure of BaLiGa2Ag4, computed with PBE.

```
BaLiGa2Ag4
1.0
4.5796 0.0000 0.0000
2.2898 3.9660 0.0000
2.2898 1.3220 9.4370
Ag Li Ga Ba
4 1 2 1
Cartesian
6.8694 3.9660 3.8202
2.2898 1.3220 5.6168
4.5796 2.6440 7.2428
4.5796 2.6440 2.1942
4.5796 2.6440 4.7185
2.2898 1.3220 2.7813
6.8694 3.9660 6.6556
0.0000 0.0000 0.0000
```

DOS(E_F) ... 3.0 states/eV/cell
Formation energy ... -19.6 kJ per mole of atoms

***

Entry 3:
An optimized crystal structure of BaLi6GaAg, computed with PBE.

```
BaLi6GaAg
1.0
5.6827 0.0000 0.0000
0.0000 10.9966 0.0000
-2.8413 -5.4983 7.1991
Li Ga Ba Ag
12 2 2 2
Cartesian
-1.3666 5.9281 4.9507
-1.3666 -0.4298 4.9507
2.8413 -2.7491 5.7430
1.3666 5.9281 4.9507
1.4748 5.9281 2.2484
2.8413 8.2474 1.0079
0.0000 8.2474 1.4562
0.0000 -2.7491 6.1912
1.3666 -0.4298 4.9507
4.2079 5.9281 2.2484
4.2079 -0.4298 2.2484
1.4748 -0.4298 2.2484
-1.4207 -2.7491 3.5996
1.4207 -2.7491 3.5996
0.0000 2.7491 1.7992
2.8413 2.7491 5.3999
2.8413 5.4983 0.0000
2.8413 0.0000 0.0000
```

DOS(E_F) ... 10.0 states/eV/cell
Formation energy ... 2.8 kJ per mole of atoms

***

Entry 4:
An optimized crystal structure of Ba2LiGa3Ag4, computed with PBE.

```
Ba2LiGa3Ag4
1.0
-1.8699 -0.2713 -4.2247
2.1089 -4.0642 -0.6724
-8.9795 -5.3742 4.3196
Ga Ag Ba Li
3 4 2 1
Cartesian
-4.4898 -2.6871 2.1598
-8.8040 -4.8452 1.6731
-0.0560 -2.6967 0.1980
-6.5877 -3.5188 0.6069
-2.2723 -4.0232 1.2641
0.0000 0.0000 0.0000
0.1195 -2.1678 -2.4486
-3.1511 -1.4620 -1.0463
-5.7089 -6.0800 2.9173
-4.3702 -4.8548 -0.2888
```

DOS(E_F) ... 6.2 states/eV/cell
Formation energy ... -27.0 kJ per mole of atoms

***

Entry 5:
An optimized crystal structure of Ba2MgGa4Ag3, computed with PBE.

```
Ba2MgGa4Ag3
1.0
4.6518 0.0000 0.0000
0.0000 4.6518 0.0000
0.0000 0.0000 11.3442
Ba Ga Ag Mg
2 4 3 1
Cartesian
2.3259 0.0000 2.7649
0.0000 2.3259 8.5793
2.3259 0.0000 7.2070
2.3259 2.3259 0.0000
0.0000 0.0000 0.0000
0.0000 2.3259 4.1372
2.3259 0.0000 9.9254
0.0000 0.0000 5.6721
0.0000 2.3259 1.4189
2.3259 2.3259 5.6721
```

DOS(E_F) ... 5.5 states/eV/cell
Formation energy ... -27.4 kJ per mole of atoms

***

Entry 6:
An optimized crystal structure of Ba2Mg12GaAg3, computed with PBE.

```
Ba2Mg12GaAg3
1.0
10.7524 1.8486 1.3112
6.9176 8.4368 1.3112
6.9176 4.0266 7.5289
Mg Ag Ba Ga
12 3 2 1
Cartesian
12.8645 9.2818 4.6830
5.6767 5.8888 1.4384
10.1634 7.7095 5.4683
11.7230 6.8238 2.9395
12.8645 7.4882 7.2118
18.9108 11.0077 5.0692
14.4242 6.6024 4.6830
18.9108 8.4232 8.7129
7.9240 2.0280 1.4384
5.6767 3.3043 5.0821
11.7230 5.0301 5.4683
16.6635 12.2840 8.7129
5.3762 0.9243 0.6556
3.4588 4.2184 0.6556
3.4588 2.0133 3.7645
8.5847 4.9970 3.5443
16.0028 9.3149 6.6070
0.0000 0.0000 0.0000
```

DOS(E_F) ... 9.3 states/eV/cell
Formation energy ... 6.9 kJ per mole of atoms

***

Entry 7:
An optimized crystal structure of BaMg2Ga2Ag2, computed with PBE.

```
BaMg2Ga2Ag2
1.0
4.6205 0.0000 0.0000
2.3103 4.0015 0.0000
2.3103 1.3338 8.9886
Ag Ga Mg Ba
2 2 2 1
Cartesian
4.6205 2.6677 6.0897
4.6205 2.6677 2.8990
6.9308 4.0015 6.7091
2.3103 1.3338 2.2795
2.3103 1.3338 5.2271
6.9308 4.0015 3.7616
0.0000 0.0000 0.0000
```

DOS(E_F) ... 4.2 states/eV/cell
Formation energy ... -26.3 kJ per mole of atoms

***

Entry 8:
An optimized crystal structure of Ba2Mg4Ga3Ag, computed with PBE.

```
Ba2Mg4Ga3Ag
1.0
-0.6307 4.3774 -2.1390
-4.8683 -0.6513 0.1026
-0.4323 4.7986 9.9475
Mg Ga Ba Ag
4 3 2 1
Cartesian
-0.5833 5.1633 5.0968
-2.7495 1.8631 -1.0182
-2.5985 1.4984 3.8324
0.0000 0.0000 0.0000
-0.6908 6.3565 7.5702
-2.4910 0.3052 1.3590
-0.2162 2.3993 4.9737
-0.4255 3.4120 1.4664
-2.7562 3.2497 7.4629
-2.9656 4.2624 3.9555
```

DOS(E_F) ... 5.9 states/eV/cell
Formation energy ... -24.9 kJ per mole of atoms

***

Entry 9:
An optimized crystal structure of Ba2Mg6GaAg, computed with PBE.

```
Ba2Mg6GaAg
1.0
7.3398 0.0044 0.0047
0.0031 7.6119 0.1873
3.6769 3.9505 5.3846
Ga Mg Ba Ag
1 6 2 1
Cartesian
3.6715 3.8082 0.0960
5.2174 6.0660 0.6053
8.8874 5.5001 4.9895
7.3336 7.0457 2.7929
2.1325 6.0667 0.5872
3.6863 4.5211 2.7837
5.8025 5.5009 4.9713
3.6648 8.2705 3.2562
7.3551 3.2964 2.3204
0.0000 0.0000 0.0000
```

DOS(E_F) ... 5.2 states/eV/cell
Formation energy ... -11.9 kJ per mole of atoms

***

Entry 10:
An optimized crystal structure of Ba2MgGaAg6, computed with PBE.

```
Ba2MgGaAg6
1.0
7.0841 -0.0117 0.0091
0.0316 7.3622 0.2291
3.5593 3.8106 5.2318
Ag Ba Mg Ga
6 2 1 1
Cartesian
5.6608 2.2511 0.6065
1.4431 2.2562 0.5878
5.0141 8.9100 4.8634
3.5448 2.9890 2.6139
7.1301 8.1720 2.8561
9.2318 8.9048 4.8822
7.1020 4.3060 3.0859
3.5730 6.8550 2.3840
0.0000 0.0000 0.0000
3.5578 3.6752 0.1191
```

DOS(E_F) ... 5.3 states/eV/cell
Formation energy ... -17.1 kJ per mole of atoms

***

Entry 11:
An optimized crystal structure of BaMg4Ga2Ag, computed with PBE.

```
BaMg4Ga2Ag
1.0
-3.3291 -0.8593 -3.2805
1.2667 -0.9130 -4.4883
-0.2480 -10.3308 -0.4842
Mg Ag Ga Ba
4 1 2 1
Cartesian
-1.8848 -5.7080 -6.9181
-0.4256 -6.3952 -1.3349
-1.0370 -8.6714 -3.5602
-1.2734 -3.4317 -4.6928
-1.1552 -6.0516 -4.1265
-0.5739 -3.1070 -2.0457
-1.7365 -8.9961 -6.2073
0.0000 0.0000 0.0000
```

DOS(E_F) ... 2.7 states/eV/cell
Formation energy ... -17.0 kJ per mole of atoms

***

Entry 12:
An optimized crystal structure of Ba2GaAgN, computed with PBE.

```
Ba2GaAgN
1.0
-4.3081 0.7357 -0.2839
-1.2020 -4.7507 5.9307
1.2927 8.6748 2.8646
N Ba Ga Ag
2 4 2 2
Cartesian
-3.2388 1.0968 1.3162
-0.9787 3.5631 7.1953
-3.4164 1.9908 6.3286
-0.0731 7.5732 3.8435
-4.1444 -2.9133 4.6680
-0.8012 2.6690 2.1828
-0.8018 3.8811 5.3349
-3.4157 0.7788 3.1766
-2.7355 5.0317 3.8760
-1.4820 -0.3718 4.6355
```

Uncorrected formation energy ... -0.38 eV per atom
DOS(E_F) ... 5.8 states/eV/cell

***

Q: What is the DOS(E_F) in the eighth record?
A: 5.9 states/eV/cell